DFT (GGA-PBE) results for a relaxed CaLaNdTm crystal.

a b c (Å): 5.8624 5.8624 5.8624
angles (deg): 60.00 60.00 60.00
Fractional coordinates of all 4 atoms:
Ca 0.0000 0.0000 0.0000
La 0.7500 0.7500 0.7500
Nd 0.2500 0.2500 0.2500
Tm 0.5000 0.5000 0.5000

calculated volume = 35.6 Å³ per atom
DOS(E_F) = 6.031 states/eV/f.u.
energy of formation from the pure elements = 2.41 kcal/mol of atoms
final energy = -15.75 eV/cell